Density functional theory data (PBEsol) for a relaxed Ta2InPt crystal.

Computed properties:
Energy of formation   -4 kJ per mole of atoms
Spin magnetization   0.00 μB/f.u.
Space-group type   R-3m (166)

a = 2.919 Å, b = 2.919 Å, c = 9.681 Å
α = 81.33°, β = 81.33°, γ = 60.00°
Sites, in units of the cell vectors:
In 0.500 0.500 0.500
Pt 0.000 0.000 0.000
Ta 0.255 0.255 0.236
Ta 0.745 0.745 0.764

***

Density functional theory data (PBEsol) for a relaxed TiPO2F crystal.

Computed properties:
Uncorrected formation energy   0.065 eV/atom
Spin magnetization   0.19 μB/f.u.
Space-group type   P4/mmm (123)

a = 3.632 Å, b = 3.881 Å, c = 3.881 Å
α = 90.00°, β = 90.00°, γ = 90.00°
Sites, in units of the cell vectors:
P 0.500 0.000 0.000
F 0.000 0.000 0.000
O 0.000 0.000 0.500
O 0.000 0.500 0.000
Ti 0.500 0.500 0.500

***

Density functional theory data (PBEsol) for a relaxed LiRh3Au crystal.

Computed properties:
Energy of formation   72 kJ per mole of atoms
Spin magnetization   0.29 μB/f.u.
Space-group type   Pm-3m (221)

a = 4.088 Å, b = 4.088 Å, c = 4.088 Å
α = 90.00°, β = 90.00°, γ = 90.00°
Sites, in units of the cell vectors:
Rh 0.000 0.500 0.000
Rh 0.000 0.000 0.500
Rh 0.500 0.000 0.000
Au 0.500 0.500 0.500
Li 0.000 0.000 0.000

***

Density functional theory data (PBEsol) for a relaxed Rb3FeS3 crystal.

Computed properties:
Uncorrected formation energy   -0.898 eV/atom
Spin magnetization   4.00 μB/f.u.
Space-group type   P2_1/c (14)

a = 7.902 Å, b = 8.222 Å, c = 12.851 Å
α = 90.00°, β = 90.00°, γ = 100.92°
Sites, in units of the cell vectors:
Rb 0.748 0.392 0.934
Rb 0.752 0.108 0.434
Rb 0.252 0.608 0.066
Rb 0.248 0.892 0.566
Rb 0.870 0.479 0.640
Rb 0.630 0.021 0.140
Rb 0.130 0.521 0.360
Rb 0.370 0.979 0.860
Rb 0.287 0.412 0.803
Rb 0.213 0.088 0.303
Rb 0.713 0.588 0.197
Rb 0.787 0.912 0.697
Fe 0.414 0.354 0.551
Fe 0.086 0.146 0.051
Fe 0.586 0.646 0.449
Fe 0.914 0.854 0.949
S 0.019 0.885 0.111
S 0.481 0.615 0.611
S 0.981 0.115 0.889
S 0.519 0.385 0.389
S 0.365 0.246 0.044
S 0.135 0.254 0.544
S 0.635 0.754 0.956
S 0.865 0.746 0.456
S 0.540 0.196 0.655
S 0.960 0.304 0.155
S 0.460 0.804 0.345
S 0.040 0.696 0.845

***

Density functional theory data (PBEsol) for a relaxed BaYMg4 crystal.

Computed properties:
Energy of formation   -4 kJ per mole of atoms
Spin magnetization   0.00 μB/f.u.
Space-group type   F-43m (216)

a = 6.229 Å, b = 6.229 Å, c = 6.229 Å
α = 60.00°, β = 60.00°, γ = 60.00°
Sites, in units of the cell vectors:
Y 0.750 0.750 0.750
Mg 0.376 0.376 0.376
Mg 0.376 0.376 0.871
Mg 0.871 0.376 0.376
Mg 0.376 0.871 0.376
Ba 0.000 0.000 0.000

***

Density functional theory data (PBEsol) for a relaxed Zr3Hg4 crystal.

Computed properties:
Energy of formation   -19 kJ per mole of atoms
Spin magnetization   0.00 μB/f.u.
Space-group type   I4/mmm (139)

a = 3.159 Å, b = 3.159 Å, c = 14.868 Å
α = 96.10°, β = 96.10°, γ = 90.00°
Sites, in units of the cell vectors:
Hg 0.141 0.141 0.281
Hg 0.431 0.431 0.862
Hg 0.569 0.569 0.138
Hg 0.859 0.859 0.719
Zr 0.000 0.000 0.000
Zr 0.288 0.288 0.576
Zr 0.712 0.712 0.424

***

Density functional theory data (PBEsol) for a relaxed MnHAu2 crystal.

Computed properties:
DFT total energy   -4.95 eV per atom
Spin magnetization   4.10 μB/f.u.
Space-group type   I-42d (122)

a = 5.207 Å, b = 5.207 Å, c = 5.207 Å
α = 104.42°, β = 104.42°, γ = 120.13°
Sites, in units of the cell vectors:
H 0.750 0.250 0.500
H 0.500 0.500 0.000
Mn 0.250 0.750 0.500
Mn 0.000 0.000 0.000
Au 0.789 0.875 0.414
Au 0.461 0.375 0.586
Au 0.625 0.211 0.086
Au 0.125 0.539 0.914

***

Density functional theory data (PBEsol) for a relaxed Li5Mg crystal.

Computed properties:
Excess energy over the best structure of this formula in the dataset   3 meV/atom
Energy of formation   -2 kJ per mole of atoms
Spin magnetization   0.00 μB/f.u.
Space-group type   Cm (8)

a = 3.202 Å, b = 5.725 Å, c = 7.135 Å
α = 107.55°, β = 90.00°, γ = 106.24°
Sites, in units of the cell vectors:
Mg 0.706 0.412 0.915
Li 0.010 0.019 0.032
Li 0.374 0.748 0.251
Li 0.682 0.365 0.361
Li 0.042 0.085 0.578
Li 0.352 0.705 0.696